(1)
Density functional theory data (PBE) for a geometry-optimized Ca5Cd2Ga structure.

Unit cell a=5.2695 b=6.9432 c=13.2814 alpha=90.00 beta=90.00 gamma=90.00
Closest atoms and distances in Å follow each position.
Fractional positions:
Cd 0.5000 0.1387 0.8600  7 Ca 3.29-3.46
Ca 0.0000 0.5000 0.5000  4 Cd 3.37, 2 Ga 3.47, 4 Ca 3.75
Cd 0.5000 0.6387 0.6400  7 Ca 3.29-3.46
Cd 0.5000 0.8613 0.1400  7 Ca 3.29-3.46
Ca 0.0000 0.3771 0.7790  1 Ga 3.06, 2 Cd 3.29
Ca 0.5000 0.6668 0.9003  2 Ga 3.17, 3 Cd 3.32-3.46, 1 Ca 3.52
Ga 0.0000 0.5000 0.0000  6 Ca 3.06-3.17
Ca 0.5000 0.1668 0.5997  2 Ga 3.17, 3 Cd 3.32-3.46, 1 Ca 3.52
Cd 0.5000 0.3613 0.3600  7 Ca 3.29-3.46
Ca 0.0000 0.8771 0.7210  1 Ga 3.06, 2 Cd 3.29
Ca 0.0000 0.1229 0.2790  1 Ga 3.06, 2 Cd 3.29
Ca 0.5000 0.3332 0.0997  2 Ga 3.17, 3 Cd 3.32-3.46, 1 Ca 3.52
Ga 0.0000 0.0000 0.5000  6 Ca 3.06-3.17
Ca 0.0000 0.6229 0.2210  1 Ga 3.06, 2 Cd 3.29
Ca 0.0000 0.0000 0.0000  4 Cd 3.37, 2 Ga 3.47, 4 Ca 3.75
Ca 0.5000 0.8332 0.4003  2 Ga 3.17, 3 Cd 3.32-3.46, 1 Ca 3.52

For the total magnetic moment, the calculation gives 0.00 μB/f.u. Its space-group type is Pbam, No. 55. As for the formation energy: -293 meV per atom.

---

(2)
Density functional theory data (PBE) for a geometry-optimized Ca4CdGa2 structure.

Unit cell a=5.2398 b=5.2398 c=9.0733 alpha=73.22 beta=73.22 gamma=60.00
Closest atoms and distances in Å follow each position.
Fractional positions:
Ca 0.3788 0.3788 0.8635  4 Ga 3.15-3.23, 3 Cd 3.24
Cd 0.0000 0.0000 0.0000  8 Ca 3.24-3.27
Ga 0.2530 0.2530 0.2409  8 Ca 3.15-3.26
Ca 0.8725 0.8725 0.3824  4 Ga 3.22-3.26, 1 Cd 3.27
Ca 0.1275 0.1275 0.6176  4 Ga 3.22-3.26, 1 Cd 3.27
Ca 0.6212 0.6212 0.1365  4 Ga 3.15-3.23, 3 Cd 3.24
Ga 0.7470 0.7470 0.7591  8 Ca 3.15-3.26

For the total magnetic moment, the calculation gives 0.00 μB/f.u. Its space-group type is R-3m, No. 166. As for the formation energy: -329 meV per atom.

---

(3)
Density functional theory data (PBE) for a geometry-optimized Ca3Cd2Ga3 structure.

Unit cell a=4.6020 b=6.1599 c=15.0606 alpha=90.00 beta=90.00 gamma=111.93
Closest atoms and distances in Å follow each position.
Fractional positions:
Ga 0.6010 0.2020 0.4611  1 Ga 2.59, 2 Cd 2.75
Ga 0.6010 0.2020 0.0389  1 Ga 2.59, 2 Cd 2.75
Cd 0.2115 0.4230 0.0934  4 Ga 2.75-2.93
Cd 0.7885 0.5770 0.5934  4 Ga 2.75-2.93
Cd 0.7885 0.5770 0.9066  4 Ga 2.75-2.93
Ca 0.9187 0.8374 0.1117  6 Ga 3.19-3.29, 4 Cd 3.31-3.43
Ca 0.0813 0.1626 0.8883  6 Ga 3.19-3.29, 4 Cd 3.31-3.43
Ga 0.3527 0.7054 0.2500  2 Cd 2.86, 4 Ca 3.19
Ca 0.6391 0.2782 0.2500  5 Ga 3.21-3.35, 4 Cd 3.40
Ca 0.0813 0.1626 0.6117  6 Ga 3.19-3.29, 4 Cd 3.31-3.43
Ga 0.3990 0.7980 0.9611  1 Ga 2.59, 2 Cd 2.75
Cd 0.2115 0.4230 0.4066  4 Ga 2.75-2.93
Ca 0.9187 0.8374 0.3883  6 Ga 3.19-3.29, 4 Cd 3.31-3.43
Ga 0.3990 0.7980 0.5389  1 Ga 2.59, 2 Cd 2.75
Ca 0.3609 0.7218 0.7500  5 Ga 3.21-3.35, 4 Cd 3.40
Ga 0.6473 0.2946 0.7500  2 Cd 2.86, 4 Ca 3.19

For the total magnetic moment, the calculation gives 0.00 μB/f.u. Its space-group type is Cmcm, No. 63. As for the formation energy: -416 meV per atom.

---

(4)
Density functional theory data (PBE) for a geometry-optimized CaCd2Ga structure.

Unit cell a=3.3642 b=3.3642 c=11.1472 alpha=81.32 beta=81.32 gamma=60.00
Closest atoms and distances in Å follow each position.
Fractional positions:
Cd 0.9036 0.9036 0.2893  3 Ga 3.02, 1 Ca 3.18, 6 Cd 3.36
Ga 0.5000 0.5000 0.5000  6 Cd 3.02, 6 Ga 3.36
Cd 0.0964 0.0964 0.7107  3 Ga 3.02, 1 Ca 3.18, 6 Cd 3.36
Ca 0.0000 0.0000 0.0000  2 Cd 3.18, 6 Ca 3.36

For the total magnetic moment, the calculation gives 0.00 μB/f.u. Its space-group type is R-3m, No. 166. As for the formation energy: 178 meV per atom.